The following is a DFT calculation (PBE) of a geometry-optimized Hf2SiTcPt structure.

Structure (CIF):
```
data_Hf2SiTcPt
_chemical_formula_sum 'Hf2 Si1 Tc1 Pt1'
_cell_length_a 4.831
_cell_length_b 4.831
_cell_length_c 4.291
_cell_angle_alpha 90.00
_cell_angle_beta 90.00
_cell_angle_gamma 90.00
_symmetry_space_group_name_H-M 'P 4/m m m'
_symmetry_Int_Tables_number 123
_symmetry_space_group_name_Hall '-P 4 2'
loop_
_atom_site_label
_atom_site_type_symbol
_atom_site_fract_x
_atom_site_fract_y
_atom_site_fract_z
Hf1 Hf 0.000 0.500 0.000
Si1 Si 0.000 0.000 0.000
Tc1 Tc 0.000 0.000 0.500
Pt1 Pt 0.500 0.500 0.500
```

Output
formation energy from raw total energies: 0.252 eV per atom
crystal system: tetragonal

The following is a DFT calculation (PBE) of a geometry-optimized HfTh2Si3Pt4 structure.

Structure (CIF):
```
data_HfTh2Si3Pt4
_chemical_formula_sum 'Hf1 Th2 Si3 Pt4'
_cell_length_a 4.259
_cell_length_b 4.259
_cell_length_c 10.569
_cell_angle_alpha 90.00
_cell_angle_beta 90.00
_cell_angle_gamma 90.00
_symmetry_space_group_name_H-M 'P -4 m 2'
_symmetry_Int_Tables_number 115
loop_
_symmetry_equiv_pos_as_xyz
'x,y,z'
'y,-x,-z'
'-x,-y,z'
'-y,x,-z'
'-x,y,z'
'-y,-x,-z'
'x,-y,z'
'y,x,-z'
loop_
_atom_site_label
_atom_site_type_symbol
_atom_site_fract_x
_atom_site_fract_y
_atom_site_fract_z
Hf1 Hf 0.000 0.000 0.000
Th1 Th 0.000 0.500 0.732
Si1 Si 0.000 0.500 0.373
Si2 Si 0.500 0.500 0.000
Pt1 Pt 0.000 0.000 0.500
Pt2 Pt 0.000 0.500 0.145
Pt3 Pt 0.500 0.500 0.500
```

Output
formation energy from raw total energies: -1.085 eV per atom
crystal system: tetragonal

The following is a DFT calculation (PBE) of a geometry-optimized Tm2HfSi3Pt4 structure.

Structure (CIF):
```
data_Tm2HfSi3Pt4
_chemical_formula_sum 'Tm2 Hf1 Si3 Pt4'
_cell_length_a 4.091
_cell_length_b 4.091
_cell_length_c 10.891
_cell_angle_alpha 90.00
_cell_angle_beta 90.00
_cell_angle_gamma 90.00
_symmetry_space_group_name_H-M 'P -4 m 2'
_symmetry_Int_Tables_number 115
loop_
_symmetry_equiv_pos_as_xyz
'x,y,z'
'y,-x,-z'
'-x,-y,z'
'-y,x,-z'
'-x,y,z'
'-y,-x,-z'
'x,-y,z'
'y,x,-z'
loop_
_atom_site_label
_atom_site_type_symbol
_atom_site_fract_x
_atom_site_fract_y
_atom_site_fract_z
Tm1 Tm 0.000 0.500 0.227
Hf1 Hf 0.000 0.000 0.500
Si1 Si 0.000 0.500 0.869
Si2 Si 0.500 0.500 0.500
Pt1 Pt 0.000 0.000 0.000
Pt2 Pt 0.000 0.500 0.652
Pt3 Pt 0.500 0.500 0.000
```

Output
formation energy from raw total energies: -1.063 eV per atom
crystal system: tetragonal

The following is a DFT calculation (PBE) of a geometry-optimized Hf2SiPtW structure.

Structure (CIF):
```
data_Hf2SiPtW
_chemical_formula_sum 'Hf2 Si1 Pt1 W1'
_cell_length_a 4.980
_cell_length_b 4.980
_cell_length_c 4.596
_cell_angle_alpha 90.00
_cell_angle_beta 90.00
_cell_angle_gamma 90.00
_symmetry_space_group_name_H-M 'P 4/m m m'
_symmetry_Int_Tables_number 123
_symmetry_space_group_name_Hall '-P 4 2'
loop_
_atom_site_label
_atom_site_type_symbol
_atom_site_fract_x
_atom_site_fract_y
_atom_site_fract_z
Hf1 Hf 0.000 0.500 0.000
Si1 Si 0.000 0.000 0.500
Pt1 Pt 0.500 0.500 0.500
W1 W 0.000 0.000 0.000
```

Output
formation energy from raw total energies: 0.755 eV per atom
crystal system: tetragonal

The following is a DFT calculation (PBE) of a geometry-optimized Y2HfSi4Pt3 structure.

Structure (CIF):
```
data_Y2HfSi4Pt3
_chemical_formula_sum 'Y2 Hf1 Si4 Pt3'
_cell_length_a 4.159
_cell_length_b 4.159
_cell_length_c 10.576
_cell_angle_alpha 90.00
_cell_angle_beta 90.00
_cell_angle_gamma 90.00
_symmetry_space_group_name_H-M 'P -4 m 2'
_symmetry_Int_Tables_number 115
loop_
_symmetry_equiv_pos_as_xyz
'x,y,z'
'y,-x,-z'
'-x,-y,z'
'-y,x,-z'
'-x,y,z'
'-y,-x,-z'
'x,-y,z'
'y,x,-z'
loop_
_atom_site_label
_atom_site_type_symbol
_atom_site_fract_x
_atom_site_fract_y
_atom_site_fract_z
Y1 Y 0.000 0.500 0.238
Hf1 Hf 0.000 0.000 0.500
Si1 Si 0.000 0.000 0.000
Si2 Si 0.000 0.500 0.654
Si3 Si 0.500 0.500 0.000
Pt1 Pt 0.000 0.500 0.882
Pt2 Pt 0.500 0.500 0.500
```

Output
formation energy from raw total energies: -1.015 eV per atom
crystal system: tetragonal

The following is a DFT calculation (PBE) of a geometry-optimized SmHfPt2 structure.

Structure (CIF):
```
data_SmHfPt2
_chemical_formula_sum 'Sm2 Hf2 Pt4'
_cell_length_a 5.744
_cell_length_b 4.485
_cell_length_c 7.066
_cell_angle_alpha 90.00
_cell_angle_beta 110.55
_cell_angle_gamma 90.00
_symmetry_space_group_name_H-M 'P 1 21/m 1'
_symmetry_Int_Tables_number 11
loop_
_symmetry_equiv_pos_as_xyz
'x,y,z'
'-x,-y,-z'
'-x,y+1/2,-z'
'x,-y+1/2,z'
loop_
_atom_site_label
_atom_site_type_symbol
_atom_site_fract_x
_atom_site_fract_y
_atom_site_fract_z
Sm1 Sm 0.184 0.250 0.404
Hf1 Hf 0.358 0.750 0.100
Pt1 Pt 0.117 0.250 0.893
Pt2 Pt 0.374 0.750 0.726
```

Output
crystal system: monoclinic
energy of formation: -1107 meV/atom
distance to the lowest polymorph of the same formula: 0 meV per atom

The following is a DFT calculation (PBE) of a geometry-optimized SmHfPt2 structure.

Structure (CIF):
```
data_SmHfPt2
_chemical_formula_sum 'Sm3 Hf3 Pt6'
_cell_length_a 4.0667
_cell_length_b 4.0667
_cell_length_c 19.1511
_cell_angle_alpha 90.00
_cell_angle_beta 90.00
_cell_angle_gamma 120.00
_symmetry_space_group_name_H-M 'R -3 m'
_symmetry_Int_Tables_number 166
_symmetry_space_group_name_Hall '-R 3 2"'
loop_
_atom_site_label
_atom_site_type_symbol
_atom_site_fract_x
_atom_site_fract_y
_atom_site_fract_z
Sm1 Sm 0.0000 0.0000 0.0000
Hf1 Hf 0.0000 0.0000 0.5000
Pt1 Pt 0.0000 0.0000 0.2360
```

Output
crystal system: trigonal
energy of formation: -996 meV/atom
distance to the lowest polymorph of the same formula: 111 meV per atom

The following is a DFT calculation (PBE) of a geometry-optimized SmHfPt6 structure.

Structure (CIF):
```
data_SmHfPt6
_chemical_formula_sum 'Sm1 Hf1 Pt6'
_cell_length_a 4.100
_cell_length_b 4.100
_cell_length_c 8.203
_cell_angle_alpha 90.00
_cell_angle_beta 90.00
_cell_angle_gamma 90.00
_symmetry_space_group_name_H-M 'P 4/m m m'
_symmetry_Int_Tables_number 123
_symmetry_space_group_name_Hall '-P 4 2'
loop_
_atom_site_label
_atom_site_type_symbol
_atom_site_fract_x
_atom_site_fract_y
_atom_site_fract_z
Sm1 Sm 0.000 0.000 0.000
Hf1 Hf 0.000 0.000 0.500
Pt1 Pt 0.000 0.500 0.263
Pt2 Pt 0.500 0.500 0.000
Pt3 Pt 0.500 0.500 0.500
```

Output
crystal system: tetragonal
energy of formation: -1039 meV/atom

The following is a DFT calculation (PBE) of a geometry-optimized SmHfPt2 structure.

Structure (CIF):
```
data_SmHfPt2
_chemical_formula_sum 'Sm1 Hf1 Pt2'
_cell_length_a 3.331
_cell_length_b 3.331
_cell_length_c 7.401
_cell_angle_alpha 90.00
_cell_angle_beta 90.00
_cell_angle_gamma 90.00
_symmetry_space_group_name_H-M 'P 4/m m m'
_symmetry_Int_Tables_number 123
_symmetry_space_group_name_Hall '-P 4 2'
loop_
_atom_site_label
_atom_site_type_symbol
_atom_site_fract_x
_atom_site_fract_y
_atom_site_fract_z
Sm1 Sm 0.000 0.000 0.000
Hf1 Hf 0.000 0.000 0.500
Pt1 Pt 0.500 0.500 0.294
```

Output
crystal system: tetragonal
energy of formation: -1074 meV/atom
distance to the lowest polymorph of the same formula: 33 meV per atom

The following is a DFT calculation (PBE) of a geometry-optimized Hf3SnPt structure.

Structure (CIF):
```
data_Hf3SnPt
_chemical_formula_sum 'Hf12 Sn4 Pt4'
_cell_length_a 9.823
_cell_length_b 4.258
_cell_length_c 10.667
_cell_angle_alpha 90.00
_cell_angle_beta 90.00
_cell_angle_gamma 90.00
_symmetry_space_group_name_H-M 'A m m 2'
_symmetry_Int_Tables_number 38
loop_
_symmetry_equiv_pos_as_xyz
'x,y,z'
'-x,-y,z'
'-x,y,z'
'x,-y,z'
'x,y+1/2,z+1/2'
'-x,-y+1/2,z+1/2'
'-x,y+1/2,z+1/2'
'x,-y+1/2,z+1/2'
loop_
_atom_site_label
_atom_site_type_symbol
_atom_site_fract_x
_atom_site_fract_y
_atom_site_fract_z
Hf1 Hf 0.000 0.000 0.000
Hf2 Hf 0.182 0.000 0.318
Hf3 Hf 0.279 0.000 0.607
Hf4 Hf 0.500 0.000 0.824
Sn1 Sn 0.000 0.000 0.708
Sn2 Sn 0.500 0.000 0.135
Pt1 Pt 0.273 0.000 0.957
```

Output
crystal system: orthorhombic
energy of formation: -436 meV/atom
distance to the lowest polymorph of the same formula: 0 meV per atom

The following is a DFT calculation (PBE) of a geometry-optimized Hf4Sn2Pt structure.

Structure (CIF):
```
data_Hf4Sn2Pt
_chemical_formula_sum 'Hf8 Sn4 Pt2'
_cell_length_a 4.925
_cell_length_b 4.925
_cell_length_c 15.118
_cell_angle_alpha 90.00
_cell_angle_beta 90.00
_cell_angle_gamma 90.00
_symmetry_space_group_name_H-M 'I 4/m m m'
_symmetry_Int_Tables_number 139
_symmetry_space_group_name_Hall '-I 4 2'
loop_
_atom_site_label
_atom_site_type_symbol
_atom_site_fract_x
_atom_site_fract_y
_atom_site_fract_z
Hf1 Hf 0.000 0.000 0.171
Hf2 Hf 0.000 0.500 0.000
Sn1 Sn 0.000 0.000 0.363
Pt1 Pt 0.000 0.000 0.000
```

Output
crystal system: tetragonal
energy of formation: 54 meV/atom

The following is a DFT calculation (PBE) of a geometry-optimized HfSn3Pt structure.

Structure (CIF):
```
data_HfSn3Pt
_chemical_formula_sum 'Hf1 Sn3 Pt1'
_cell_length_a 5.445
_cell_length_b 5.445
_cell_length_c 5.445
_cell_angle_alpha 90.00
_cell_angle_beta 90.00
_cell_angle_gamma 90.00
_symmetry_space_group_name_H-M 'P m -3 m'
_symmetry_Int_Tables_number 221
_symmetry_space_group_name_Hall '-P 4 2 3'
loop_
_atom_site_label
_atom_site_type_symbol
_atom_site_fract_x
_atom_site_fract_y
_atom_site_fract_z
Hf1 Hf 0.000 0.000 0.000
Sn1 Sn 0.000 0.000 0.500
Pt1 Pt 0.500 0.500 0.500
```

Output
crystal system: cubic
energy of formation: 878 meV/atom
distance to the lowest polymorph of the same formula: 392 meV per atom

The records above yield raw total energy values of -40.5, -76.1, -70.0, -40.6, -72.8, -62.4, -92.2, -59.2, -31.1, -168.3, -107.0, -23.6 eV/cell, respectively.